Compound: NpCr2TcO6
Source: Alexandria via LeMat-Bulk
Functional: PBE with a Hubbard U
Structure: optimized geometry

- Space group: P1, No. 1
- Energy: -86.6 eV/cell
- Spin magnetization: 8.00 μB/f.u.

Structure (POSCAR):
```
NpCr2TcO6
1.0
5.386 0.000 0.000
2.687 4.691 0.000
2.682 1.230 4.942
Np Cr Tc O
1 2 1 6
Cartesian
0.000 0.000 0.000
2.717 1.544 0.513
8.022 4.436 2.973
5.392 2.964 2.538
4.504 4.340 3.781
3.585 3.167 1.493
4.595 1.503 3.879
6.442 4.424 1.528
6.906 2.813 3.973
6.237 1.489 1.373
```